# 1
{
  "formula": "ScZn2Sb",
  "functional": "GGA-PBE",
  "state": "optimized geometry",
  "energy_ev_per_cell": -27.17,
  "formation_energy_uncorrected_ev_per_atom": -0.15,
  "cell": [[7.828, 0.000, 0.000], [0.000, 7.828, 0.000], [3.914, 3.914, 2.808]],
  "species": ["Sc", "Sc", "Sb", "Sb", "Zn", "Zn", "Zn", "Zn"],
  "frac_coords": [[0.500, 0.500, 0.000], [0.250, 0.750, 0.500], [0.000, 0.000, 0.000], [0.750, 0.250, 0.500], [0.642, 0.125, 0.250], [0.108, 0.625, 0.250], [0.375, 0.358, 0.750], [0.875, 0.892, 0.750]]
}

# 2
{
  "formula": "CaThGePd",
  "functional": "GGA-PBE",
  "state": "optimized geometry",
  "energy_ev_per_cell": -21.79,
  "ef_mev_per_atom": -638,
  "cell": [[-1.014, -4.765, -1.591], [3.467, -3.716, 0.664], [-0.852, -3.718, 3.423]],
  "species": ["Ge", "Ca", "Pd", "Th"],
  "frac_coords": [[0.000, 0.000, 0.000], [0.250, 0.250, 0.250], [0.500, 0.500, 0.500], [0.750, 0.750, 0.750]]
}

# 3
{
  "formula": "CaTa2Os",
  "functional": "GGA-PBE",
  "state": "optimized geometry",
  "energy_ev_per_cell": -35.21,
  "ef_mev_per_atom": 432,
  "e_above_lowest_polymorph_kcal_per_mol_atoms": 5.30,
  "cell": [[-7.532, -2.737, -5.306], [-5.259, -3.108, -7.421], [-5.875, -5.388, -5.371]],
  "species": ["Ca", "Os", "Ta", "Ta"],
  "frac_coords": [[0.493, 0.493, 0.493], [0.740, 0.740, 0.740], [0.007, 0.007, 0.007], [0.261, 0.261, 0.261]]
}

# 4
{
  "formula": "La3Tb2Pb4",
  "functional": "GGA-PBE",
  "state": "optimized geometry",
  "energy_ev_per_cell": -43.56,
  "ef_mev_per_atom": -521,
  "e_above_lowest_polymorph_kcal_per_mol_atoms": 0.00,
  "cell": [[-2.568, -4.395, 0.972], [2.436, -2.769, -6.084], [7.009, 0.115, 5.222]],
  "species": ["La", "La", "La", "Tb", "Tb", "Pb", "Pb", "Pb", "Pb"],
  "frac_coords": [[0.123, 0.575, 0.246], [0.877, 0.425, 0.754], [0.000, 0.000, 0.000], [0.664, 0.073, 0.328], [0.336, 0.927, 0.672], [0.495, 0.714, 0.991], [0.240, 0.263, 0.481], [0.505, 0.286, 0.009], [0.760, 0.737, 0.519]]
}

# 5
{
  "formula": "Tl2SbBr",
  "functional": "GGA-PBE",
  "state": "optimized geometry",
  "energy_ev_per_cell": -10.79,
  "formation_energy_uncorrected_ev_per_atom": -0.07,
  "e_above_lowest_polymorph_kcal_per_mol_atoms": 4.68,
  "cell": [[6.664, 0.223, -0.077], [5.636, 3.563, -0.077], [0.879, 0.271, 5.624]],
  "species": ["Sb", "Tl", "Tl", "Br"],
  "frac_coords": [[0.750, 0.750, 0.750], [0.040, 0.040, 0.992], [0.460, 0.460, 0.508], [0.250, 0.250, 0.250]]
}

# 6
{
  "formula": "Ca2RhC2",
  "functional": "GGA-PBE",
  "state": "optimized geometry",
  "energy_ev_per_cell": -58.83,
  "ef_mev_per_atom": 78,
  "e_above_lowest_polymorph_kcal_per_mol_atoms": 0.00,
  "cell": [[3.391, 0.000, 0.000], [1.695, 6.169, 0.585], [1.695, 1.734, 8.642]],
  "species": ["Ca", "Ca", "Ca", "Ca", "Rh", "Rh", "C", "C", "C", "C"],
  "frac_coords": [[0.332, 0.222, 0.114], [0.492, 0.326, 0.689], [0.668, 0.778, 0.886], [0.508, 0.674, 0.311], [0.714, 0.167, 0.404], [0.286, 0.833, 0.596], [0.994, 0.080, 0.932], [0.144, 0.320, 0.393], [0.006, 0.920, 0.068], [0.856, 0.680, 0.607]]
}

# 7
{
  "formula": "TiZn2GePb",
  "functional": "GGA-PBE",
  "state": "optimized geometry",
  "energy_ev_per_cell": -14.88,
  "ef_mev_per_atom": 778,
  "cell": [[-3.846, 0.312, 3.151], [-3.027, -2.774, -3.420], [1.437, -4.247, 2.173]],
  "species": ["Pb", "Ge", "Zn", "Zn", "Ti"],
  "frac_coords": [[0.000, 0.500, 0.000], [0.500, 0.500, 0.500], [0.000, 0.000, 0.500], [0.500, 0.000, 0.000], [0.000, 0.000, 0.000]]
}

# 8
{
  "formula": "ScBi",
  "functional": "GGA-PBE",
  "state": "optimized geometry",
  "energy_ev_per_cell": -22.28,
  "ef_mev_per_atom": -464,
  "cell": [[-4.421, 1.772, 1.910], [3.576, -1.903, 3.149], [2.402, 5.409, 0.541]],
  "species": ["Sc", "Sc", "Bi", "Bi"],
  "frac_coords": [[0.333, 0.667, 0.250], [0.667, 0.333, 0.750], [0.333, 0.667, 0.750], [0.667, 0.333, 0.250]]
}

# 9
{
  "formula": "MgCd2GaBi",
  "functional": "GGA-PBE",
  "state": "optimized geometry",
  "energy_ev_per_cell": -7.68,
  "ef_mev_per_atom": 530,
  "cell": [[-4.722, -3.201, 0.971], [2.610, -4.496, -2.128], [1.990, -1.337, 5.266]],
  "species": ["Mg", "Bi", "Ga", "Cd", "Cd"],
  "frac_coords": [[0.500, 0.500, 0.500], [0.000, 0.000, 0.000], [0.000, 0.500, 0.000], [0.000, 0.000, 0.500], [0.500, 0.000, 0.000]]
}

# 10
{
  "formula": "Nd2YTm",
  "functional": "GGA-PBE",
  "state": "optimized geometry",
  "energy_ev_per_cell": -39.96,
  "ef_mev_per_atom": 123,
  "e_above_lowest_polymorph_kcal_per_mol_atoms": 2.53,
  "cell": [[3.547, 0.000, 0.000], [-1.774, 6.597, -0.123], [0.000, -0.442, 11.642]],
  "species": ["Nd", "Nd", "Nd", "Nd", "Y", "Y", "Tm", "Tm"],
  "frac_coords": [[0.761, 0.521, 0.252], [0.491, 0.981, 0.223], [0.509, 0.019, 0.777], [0.239, 0.479, 0.748], [0.633, 0.266, 0.506], [0.367, 0.734, 0.494], [0.134, 0.268, 0.013], [0.866, 0.732, 0.987]]
}

# 11
{
  "formula": "Ta2Ti2W",
  "functional": "GGA-PBE",
  "state": "optimized geometry",
  "energy_ev_per_cell": -48.88,
  "ef_mev_per_atom": 714,
  "e_above_lowest_polymorph_kcal_per_mol_atoms": 11.18,
  "cell": [[3.570, 0.000, 0.000], [0.000, 3.570, 0.000], [1.785, 1.785, 7.175]],
  "species": ["Ti", "Ti", "W", "Ta", "Ta"],
  "frac_coords": [[0.750, 0.250, 0.500], [0.250, 0.750, 0.500], [0.000, 0.000, 0.000], [0.404, 0.404, 0.192], [0.596, 0.596, 0.808]]
}